No. 1
Material: InAgHg
Method: DFT, PBE
State: relaxed

a b c (Å): 4.697 4.697 3.674
angles (deg): 90.00 90.00 120.00
Fractional positions:
In  0.333  0.667  0.693
Ag  0.000  0.000  0.011
Hg  0.667  0.333  0.296

D(E_F) = 1.4 states/eV/f.u.
Distance to the lowest polymorph of the same formula = 67 meV per atom
VASP energy = -1.87 eV per atom
DFT formation energy = 91 meV per atom
Theoretical density = 10.02 Mg/m³

---

No. 2
Material: InAgHg2
Method: DFT, PBE
State: relaxed

a b c (Å): 3.295 3.295 8.592
angles (deg): 90.00 90.00 89.89
Fractional positions:
Ag  0.500  0.500  0.750
Hg  0.000  0.000  0.523
Hg  0.000  0.000  0.977
In  0.500  0.500  0.250

D(E_F) = 1.6 states/eV/f.u.
VASP energy = -1.49 eV per atom
DFT formation energy = 54 meV per atom
Theoretical density = 11.11 Mg/m³

---

No. 3
Material: InAgHg
Method: DFT, PBE
State: relaxed

a b c (Å): 6.687 6.687 6.687
angles (deg): 151.46 151.46 40.81
Fractional positions:
Ag  0.000  0.000  0.000
Hg  0.344  0.344  0.000
In  0.656  0.656  0.000

D(E_F) = 0.6 states/eV/f.u.
Distance to the lowest polymorph of the same formula = 27 meV per atom
VASP energy = -1.91 eV per atom
DFT formation energy = 50 meV per atom
Theoretical density = 10.32 Mg/m³

---

No. 4
Material: InAg2Hg
Method: DFT, PBE
State: relaxed

a b c (Å): 9.251 9.251 9.251
angles (deg): 20.64 20.64 20.64
Fractional positions:
Ag  0.001  0.001  0.001
Ag  0.499  0.499  0.499
In  0.750  0.750  0.750
Hg  0.250  0.250  0.250

D(E_F) = 1.5 states/eV/f.u.
Distance to the lowest polymorph of the same formula = 46 meV per atom
VASP energy = -2.11 eV per atom
DFT formation energy = 74 meV per atom
Theoretical density = 10.24 Mg/m³

---

No. 5
Material: InAg5Hg2
Method: DFT, PBE
State: relaxed

a b c (Å): 6.768 9.736 9.645
angles (deg): 90.00 90.00 90.00
Fractional positions:
Ag  0.252  0.311  0.246
Ag  0.258  0.500  0.500
Ag  0.748  0.811  0.254
Ag  0.500  0.250  0.992
Ag  0.742  0.000  0.000
Ag  0.748  0.311  0.246
Ag  0.748  0.689  0.754
Ag  0.500  0.750  0.008
Ag  0.252  0.689  0.754
Ag  0.000  0.254  0.490
Ag  0.748  0.189  0.746
Ag  0.000  0.754  0.010
Ag  0.500  0.250  0.492
Ag  0.500  0.750  0.508
Ag  0.252  0.811  0.254
Ag  0.000  0.246  0.990
Ag  0.742  0.500  0.500
Ag  0.000  0.746  0.510
Ag  0.252  0.189  0.746
Ag  0.258  0.000  0.000
Hg  0.000  0.563  0.266
Hg  0.756  0.500  0.000
Hg  0.000  0.937  0.766
Hg  0.244  0.500  0.000
Hg  0.244  0.000  0.500
Hg  0.000  0.063  0.234
Hg  0.000  0.437  0.734
Hg  0.756  0.000  0.500
In  0.500  0.439  0.741
In  0.500  0.061  0.241
In  0.500  0.939  0.759
In  0.500  0.561  0.259

D(E_F) = 2.3 states/eV/f.u.
VASP energy = -2.15 eV per atom
DFT formation energy = 50 meV per atom
Theoretical density = 11.03 Mg/m³

---

No. 6
Material: In3AgHg
Method: DFT, PBE
State: relaxed

a b c (Å): 5.391 5.391 5.391
angles (deg): 90.00 90.00 90.00
Fractional positions:
Ag  0.000  0.000  0.000
Hg  0.500  0.500  0.500
In  0.500  0.000  0.000
In  0.000  0.000  0.500
In  0.000  0.500  0.000

D(E_F) = 3.7 states/eV/f.u.
Distance to the lowest polymorph of the same formula = 171 meV per atom
VASP energy = -2.08 eV per atom
DFT formation energy = 191 meV per atom
Theoretical density = 6.92 Mg/m³

---

No. 7
Material: In6Ag6Hg
Method: DFT, PBE
State: relaxed

a b c (Å): 5.939 7.560 7.560
angles (deg): 79.23 66.87 66.87
Fractional positions:
In  0.000  0.338  0.662
In  0.669  0.331  0.331
In  0.000  0.662  0.338
In  0.668  0.832  0.832
In  0.332  0.168  0.168
In  0.331  0.669  0.669
Ag  0.000  0.500  0.000
Ag  0.500  0.749  0.251
Ag  0.500  0.000  0.500
Ag  0.000  0.000  0.500
Ag  0.500  0.500  0.000
Ag  0.500  0.251  0.749
Hg  0.000  0.000  0.000

D(E_F) = 4.8 states/eV/f.u.
VASP energy = -2.61 eV per atom
DFT formation energy = -3 meV per atom
Theoretical density = 8.89 Mg/m³

---

No. 8
Material: InAgHg3
Method: DFT, PBE
State: relaxed

a b c (Å): 5.407 5.407 5.407
angles (deg): 90.00 90.00 90.00
Fractional positions:
Ag  0.000  0.000  0.000
Hg  0.000  0.500  0.000
Hg  0.500  0.000  0.000
Hg  0.000  0.000  0.500
In  0.500  0.500  0.500

D(E_F) = 2.4 states/eV/f.u.
Distance to the lowest polymorph of the same formula = 154 meV per atom
VASP energy = -1.09 eV per atom
DFT formation energy = 214 meV per atom
Theoretical density = 8.66 Mg/m³

---

No. 9
Material: In5AgHg6
Method: DFT, PBE
State: relaxed

a b c (Å): 4.872 8.629 8.629
angles (deg): 109.14 105.77 105.77
Fractional positions:
Hg  0.740  0.238  0.238
Hg  0.241  0.405  0.082
Hg  0.759  0.918  0.595
Hg  0.241  0.082  0.405
Hg  0.260  0.762  0.762
Hg  0.759  0.595  0.918
In  0.500  0.166  0.834
In  0.000  0.665  0.335
In  0.000  0.335  0.665
In  0.500  0.500  0.500
In  0.500  0.834  0.166
Ag  0.000  0.000  0.000

D(E_F) = 3.6 states/eV/f.u.
VASP energy = -1.50 eV per atom
DFT formation energy = 25 meV per atom
Theoretical density = 10.34 Mg/m³

---

No. 10
Material: InAg2Hg
Method: DFT, PBE
State: relaxed

a b c (Å): 3.277 4.386 5.830
angles (deg): 90.00 90.00 90.00
Fractional positions:
In  0.500  0.500  0.763
Hg  0.000  0.000  0.487
Ag  0.000  0.000  0.001
Ag  0.500  0.500  0.249

D(E_F) = 0.8 states/eV/f.u.
Distance to the lowest polymorph of the same formula = 5 meV per atom
VASP energy = -2.15 eV per atom
DFT formation energy = 34 meV per atom
Theoretical density = 10.53 Mg/m³

---

No. 11
Material: InAg2Hg
Method: DFT, PBE
State: relaxed

a b c (Å): 4.416 4.357 4.275
angles (deg): 90.00 90.00 90.00
Fractional positions:
Hg  0.500  0.000  0.500
Ag  0.500  0.500  0.000
Ag  0.000  0.000  0.000
In  0.000  0.500  0.500

D(E_F) = 1.6 states/eV/f.u.
Distance to the lowest polymorph of the same formula = 23 meV per atom
VASP energy = -2.13 eV per atom
DFT formation energy = 51 meV per atom
Theoretical density = 10.72 Mg/m³

---

No. 12
Material: In8AgHg6
Method: DFT, PBE
State: relaxed

a b c (Å): 5.761 8.935 8.935
angles (deg): 120.00 90.00 90.00
Fractional positions:
In  0.211  0.959  0.724
In  0.211  0.276  0.234
In  0.789  0.724  0.766
In  0.275  0.667  0.333
In  0.789  0.234  0.959
In  0.725  0.333  0.667
In  0.789  0.041  0.276
In  0.211  0.766  0.041
Hg  0.731  0.462  0.363
Hg  0.731  0.637  0.099
Hg  0.269  0.538  0.637
Hg  0.731  0.901  0.538
Hg  0.269  0.099  0.462
Hg  0.269  0.363  0.901
Ag  0.500  0.000  0.000

D(E_F) = 8.5 states/eV/f.u.
VASP energy = -1.73 eV per atom
DFT formation energy = 46 meV per atom
Theoretical density = 9.30 Mg/m³

---

No. 13
Material: In4AgHg3
Method: DFT, PBE
State: relaxed

a b c (Å): 6.588 6.588 6.588
angles (deg): 90.00 90.00 90.00
Fractional positions:
In  0.762  0.762  0.238
In  0.238  0.762  0.762
In  0.762  0.238  0.762
In  0.238  0.238  0.238
Hg  0.500  0.500  0.000
Hg  0.000  0.500  0.500
Hg  0.500  0.000  0.500
Ag  0.000  0.000  0.000

D(E_F) = 5.3 states/eV/f.u.
VASP energy = -1.55 eV per atom
DFT formation energy = 290 meV per atom
Theoretical density = 6.79 Mg/m³

---

No. 14
Material: In16AgHg12
Method: DFT, PBE
State: relaxed

a b c (Å): 9.656 9.656 9.605
angles (deg): 105.85 105.85 106.19
Fractional positions:
In  0.391  0.973  0.682
In  0.588  0.219  0.580
In  0.219  0.588  0.580
In  0.704  0.923  0.383
In  0.710  0.453  0.990
In  0.060  0.667  0.035
In  0.708  0.352  0.333
In  0.453  0.710  0.990
In  0.368  0.368  0.352
In  0.230  0.230  0.662
In  0.089  0.089  0.075
In  0.667  0.060  0.035
In  0.975  0.975  0.698
In  0.352  0.708  0.333
In  0.923  0.704  0.383
In  0.973  0.391  0.682
Hg  0.219  0.417  0.992
Hg  0.417  0.219  0.992
Hg  0.506  0.506  0.720
Hg  0.013  0.428  0.219
Hg  0.819  0.819  0.061
Hg  0.199  0.839  0.857
Hg  0.820  0.624  0.672
Hg  0.961  0.176  0.362
Hg  0.176  0.961  0.362
Hg  0.624  0.820  0.672
Hg  0.428  0.013  0.219
Hg  0.839  0.199  0.857
Ag  0.571  0.571  0.226

D(E_F) = 9.9 states/eV/f.u.
VASP energy = -1.71 eV per atom
DFT formation energy = 23 meV per atom
Theoretical density = 9.44 Mg/m³

---

No. 15
Material: In3AgHg12
Method: DFT, PBE
State: relaxed

a b c (Å): 5.324 5.318 14.657
angles (deg): 90.00 90.00 90.00
Fractional positions:
Hg  0.500  0.500  0.244
Hg  0.500  0.500  0.000
Hg  0.500  0.000  0.113
Hg  0.500  0.000  0.370
Hg  0.000  0.500  0.630
Hg  0.500  0.500  0.756
Hg  0.500  0.000  0.887
Hg  0.000  0.500  0.113
Hg  0.000  0.500  0.887
Hg  0.500  0.000  0.630
Hg  0.000  0.500  0.370
Hg  0.500  0.500  0.500
In  0.000  0.000  0.500
In  0.000  0.000  0.768
In  0.000  0.000  0.232
Ag  0.000  0.000  0.000

D(E_F) = 2.8 states/eV/f.u.
VASP energy = -0.89 eV per atom
DFT formation energy = 26 meV per atom
Theoretical density = 11.44 Mg/m³

---

No. 16
Material: In2Ag3Hg
Method: DFT, PBE
State: relaxed

a b c (Å): 5.248 5.248 16.187
angles (deg): 49.03 49.03 69.70
Fractional positions:
In  0.103  0.354  0.598
In  0.897  0.646  0.402
In  0.854  0.603  0.098
In  0.146  0.397  0.902
Ag  0.352  0.101  0.432
Ag  0.601  0.852  0.932
Ag  0.399  0.148  0.068
Ag  0.126  0.374  0.250
Ag  0.648  0.899  0.568
Ag  0.874  0.626  0.750
Hg  0.626  0.874  0.250
Hg  0.374  0.126  0.750

D(E_F) = 1.4 states/eV/f.u.
VASP energy = -2.36 eV per atom
DFT formation energy = 33 meV per atom
Theoretical density = 9.96 Mg/m³

---

No. 17
Material: InAgHg2
Method: DFT, PBE
State: relaxed

a b c (Å): 3.259 4.168 6.874
angles (deg): 90.00 90.00 90.00
Fractional positions:
In  0.500  0.500  0.250
Ag  0.500  0.500  0.750
Hg  0.000  0.000  0.979
Hg  0.000  0.000  0.521

D(E_F) = 1.0 states/eV/f.u.
VASP energy = -1.49 eV per atom
DFT formation energy = 57 meV per atom
Theoretical density = 11.10 Mg/m³

---

No. 18
Material: In5AgHg
Method: DFT, PBE
State: relaxed

a b c (Å): 4.630 4.630 8.533
angles (deg): 90.00 90.00 90.00
Fractional positions:
In  0.500  0.500  0.000
In  0.500  0.000  0.288
In  0.000  0.500  0.288
In  0.000  0.500  0.712
In  0.500  0.000  0.712
Ag  0.000  0.000  0.500
Hg  0.000  0.000  0.000

D(E_F) = 3.2 states/eV/f.u.
VASP energy = -2.38 eV per atom
DFT formation energy = 27 meV per atom
Theoretical density = 8.01 Mg/m³

---

No. 19
Material: In12Ag7Hg
Method: DFT, PBE
State: relaxed

a b c (Å): 5.926 9.899 9.899
angles (deg): 116.12 101.51 101.51
Fractional positions:
Ag  0.883  0.241  0.941
Ag  0.058  0.941  0.700
Ag  0.358  0.300  0.241
Ag  0.942  0.059  0.300
Ag  0.500  0.000  0.000
Ag  0.117  0.759  0.059
Ag  0.642  0.700  0.759
In  0.871  0.343  0.274
In  0.528  0.931  0.657
In  0.472  0.069  0.343
In  0.686  0.626  0.446
In  0.403  0.274  0.931
In  0.761  0.446  0.821
In  0.940  0.179  0.626
In  0.239  0.554  0.179
In  0.060  0.821  0.374
In  0.597  0.726  0.069
In  0.129  0.657  0.726
In  0.314  0.374  0.554
Hg  0.000  0.000  0.000

D(E_F) = 7.5 states/eV/f.u.
VASP energy = -2.61 eV per atom
DFT formation energy = 51 meV per atom
Theoretical density = 8.03 Mg/m³

---

No. 20
Material: InAgHg4
Method: DFT, PBE
State: relaxed

a b c (Å): 5.979 7.153 7.153
angles (deg): 94.78 95.37 95.37
Fractional positions:
Hg  0.563  0.330  0.883
Hg  0.955  0.653  0.851
Hg  0.937  0.117  0.670
Hg  0.545  0.149  0.347
Hg  0.045  0.347  0.149
Hg  0.063  0.883  0.330
Hg  0.437  0.670  0.117
Hg  0.455  0.851  0.653
Ag  0.750  0.985  0.015
Ag  0.250  0.015  0.985
In  0.750  0.562  0.438
In  0.250  0.438  0.562

D(E_F) = 1.8 states/eV/f.u.
Distance to the lowest polymorph of the same formula = 0 meV per atom
VASP energy = -1.09 eV per atom
DFT formation energy = 41 meV per atom
Theoretical density = 11.28 Mg/m³